## Cs2InNi3F12 (PBE+U)

Data for an optimized crystal structure of Cs2InNi3F12.

Computed properties:
DOS(E_F) = 3.8 states/eV/cell
E = -4.28 eV/atom
M_tot = 4.999 μB per formula unit

Structure (CIF):
```
data_Cs2InNi3F12
_cell_length_a 7.3375
_cell_length_b 7.3375
_cell_length_c 18.7893
_cell_angle_alpha 90.00
_cell_angle_beta 90.00
_cell_angle_gamma 120.00
_symmetry_space_group_name_H-M 'R -3 m'
_symmetry_Int_Tables_number 166
_symmetry_space_group_name_Hall '-R 3 2"'
loop_
_atom_site_label
_atom_site_fract_x
_atom_site_fract_y
_atom_site_fract_z
Cs1 0.0000 0.0000 0.1161
In1 0.0000 0.0000 0.5000
Ni1 0.0000 0.5000 0.0000
F1 0.0528 0.5264 0.1069
F2 0.0753 0.5376 0.3482
```